# La5Cu3H12

Crystalline La5Cu3H12 at its relaxed geometry (PBE, the Alexandria database).

Space group   No. 230
M_tot   0.0 μB/cell
Total DFT energy (no corrections)   -4.13 eV per atom

Cell: 11.216 11.216 11.216 Å, 109.47 109.47 109.47°
Fractional positions:
Cu 0.750 0.375 0.125
Cu 0.875 0.750 0.125
Cu 0.375 0.750 0.625
Cu 0.250 0.125 0.375
Cu 0.875 0.125 0.250
Cu 0.375 0.625 0.250
Cu 0.625 0.375 0.750
Cu 0.125 0.875 0.750
Cu 0.750 0.875 0.625
Cu 0.625 0.250 0.375
Cu 0.125 0.250 0.875
Cu 0.250 0.625 0.875
La 0.125 0.375 0.250
La 0.000 0.500 0.000
La 0.000 0.000 0.000
La 0.375 0.250 0.125
La 0.500 0.000 0.500
La 0.500 0.500 0.000
La 0.125 0.750 0.375
La 0.750 0.125 0.875
La 0.750 0.625 0.375
La 0.375 0.125 0.750
La 0.625 0.875 0.250
La 0.500 0.500 0.500
La 0.500 0.000 0.000
La 0.000 0.000 0.500
La 0.250 0.375 0.625
La 0.250 0.875 0.125
La 0.000 0.500 0.500
La 0.875 0.250 0.625
La 0.625 0.750 0.875
La 0.875 0.625 0.750
H 0.533 0.889 0.800
H 0.267 0.300 0.411
H 0.200 0.611 0.467
H 0.300 0.033 0.889
H 0.644 0.533 0.733
H 0.200 0.589 0.233
H 0.267 0.967 0.356
H 0.089 0.856 0.889
H 0.589 0.200 0.733
H 0.533 0.644 0.233
H 0.967 0.700 0.611
H 0.767 0.911 0.800
H 0.889 0.533 0.300
H 0.611 0.411 0.144
H 0.144 0.911 0.611
H 0.356 0.889 0.589
H 0.144 0.233 0.033
H 0.700 0.733 0.089
H 0.767 0.856 0.467
H 0.889 0.356 0.089
H 0.611 0.200 0.967
H 0.589 0.389 0.356
H 0.911 0.767 0.300
H 0.967 0.267 0.856
H 0.411 0.611 0.644
H 0.089 0.233 0.700
H 0.033 0.733 0.144
H 0.233 0.144 0.533
H 0.389 0.800 0.033
H 0.111 0.644 0.911
H 0.300 0.267 0.911
H 0.644 0.111 0.411
H 0.856 0.767 0.967
H 0.856 0.089 0.389
H 0.111 0.467 0.700
H 0.233 0.089 0.200
H 0.389 0.589 0.856
H 0.411 0.800 0.267
H 0.467 0.356 0.767
H 0.033 0.300 0.389
H 0.911 0.144 0.111
H 0.733 0.033 0.644
H 0.700 0.967 0.111
H 0.800 0.411 0.767
H 0.356 0.467 0.267
H 0.800 0.389 0.533
H 0.733 0.700 0.589
H 0.467 0.111 0.200